*a*
# BaTeBr PBE-GGA optimized geometry
# Calculated volume: 528 Å³/cell
data_BaTeBr
_cell_length_a 8.083
_cell_length_b 8.083
_cell_length_c 8.083
_cell_angle_alpha 90.00
_cell_angle_beta 90.00
_cell_angle_gamma 90.00
_space_group_name_H-M_alt 'F -4 3 m'
_space_group_IT_number 216
_space_group_name_Hall 'F -4 2 3'
loop_
_atom_site_label
_atom_site_type_symbol
_atom_site_fract_x
_atom_site_fract_y
_atom_site_fract_z
_atom_site_occupancy
Ba1 Ba 0.000 0.000 0.000 1
Te1 Te 0.250 0.250 0.250 1
Br1 Br 0.250 0.250 0.750 1

=====

*b*
# BaTeBr PBE-GGA optimized geometry
# Calculated volume: 117 Å³/cell
data_BaTeBr
_cell_length_a 5.4873
_cell_length_b 5.4873
_cell_length_c 4.4852
_cell_angle_alpha 90.00
_cell_angle_beta 90.00
_cell_angle_gamma 120.00
_space_group_name_H-M_alt 'P -6 m 2'
_space_group_IT_number 187
_space_group_name_Hall 'P -6 2'
loop_
_atom_site_label
_atom_site_type_symbol
_atom_site_fract_x
_atom_site_fract_y
_atom_site_fract_z
_atom_site_occupancy
Ba1 Ba 0.0000 0.0000 0.0000 1
Te1 Te 0.3333 0.6667 0.5000 1
Br1 Br 0.6667 0.3333 0.0000 1

=====

*c*
# BaTeBr PBE-GGA optimized geometry
# Calculated volume: 530 Å³/cell
data_BaTeBr
_cell_length_a 8.092
_cell_length_b 8.092
_cell_length_c 8.092
_cell_angle_alpha 90.00
_cell_angle_beta 90.00
_cell_angle_gamma 90.00
_space_group_name_H-M_alt 'F -4 3 m'
_space_group_IT_number 216
_space_group_name_Hall 'F -4 2 3'
loop_
_atom_site_label
_atom_site_type_symbol
_atom_site_fract_x
_atom_site_fract_y
_atom_site_fract_z
_atom_site_occupancy
Ba1 Ba 0.000 0.000 0.000 1
Te1 Te 0.250 0.250 0.250 1
Br1 Br 0.000 0.000 0.500 1

=====

*d*
# BaTeBr PBE-GGA optimized geometry
# Calculated volume: 517 Å³/cell
data_BaTeBr
_cell_length_a 10.784
_cell_length_b 4.958
_cell_length_c 10.563
_cell_angle_alpha 90.00
_cell_angle_beta 113.79
_cell_angle_gamma 90.00
_space_group_name_H-M_alt 'C 1 2/m 1'
_space_group_IT_number 12
loop_
_space_group_symop_operation_xyz
'x,y,z'
'-x,-y,-z'
'-x,y,-z'
'x,-y,z'
'x+1/2,y+1/2,z'
'-x+1/2,-y+1/2,-z'
'-x+1/2,y+1/2,-z'
'x+1/2,-y+1/2,z'
loop_
_atom_site_label
_atom_site_type_symbol
_atom_site_fract_x
_atom_site_fract_y
_atom_site_fract_z
_atom_site_occupancy
Ba1 Ba 0.250 0.000 0.234 1
Te1 Te 0.135 0.000 0.514 1
Br1 Br 0.102 0.000 0.886 1

=====

Most stable structure: *d*

=====

*a*
# Ba2TeBr2 PBE-GGA optimized geometry
# Calculated volume: 208 Å³/cell
data_Ba2TeBr2
_cell_length_a 5.2174
_cell_length_b 5.2174
_cell_length_c 8.8032
_cell_angle_alpha 90.00
_cell_angle_beta 90.00
_cell_angle_gamma 120.00
_space_group_name_H-M_alt 'P -3 m 1'
_space_group_IT_number 164
_space_group_name_Hall '-P 3 2"'
loop_
_atom_site_label
_atom_site_type_symbol
_atom_site_fract_x
_atom_site_fract_y
_atom_site_fract_z
_atom_site_occupancy
Ba1 Ba 0.3333 0.6667 0.2737 1
Te1 Te 0.0000 0.0000 0.5000 1
Br1 Br 0.3333 0.6667 0.8713 1

=====

*b*
# Ba2TeBr2 PBE-GGA optimized geometry
# Calculated volume: 408 Å³/cell
data_Ba2TeBr2
_cell_length_a 6.082
_cell_length_b 6.082
_cell_length_c 11.022
_cell_angle_alpha 90.00
_cell_angle_beta 90.00
_cell_angle_gamma 90.00
_space_group_name_H-M_alt 'I 4/m m m'
_space_group_IT_number 139
_space_group_name_Hall '-I 4 2'
loop_
_atom_site_label
_atom_site_type_symbol
_atom_site_fract_x
_atom_site_fract_y
_atom_site_fract_z
_atom_site_occupancy
Ba1 Ba 0.000 0.500 0.250 1
Te1 Te 0.000 0.000 0.000 1
Br1 Br 0.000 0.000 0.350 1

=====

Most stable structure: *a*

=====

*a*
# Ba2Te2Br PBE-GGA optimized geometry
# Calculated volume: 460 Å³/cell
data_Ba2Te2Br
_cell_length_a 6.485
_cell_length_b 6.485
_cell_length_c 10.930
_cell_angle_alpha 90.00
_cell_angle_beta 90.00
_cell_angle_gamma 90.00
_space_group_name_H-M_alt 'I 4/m m m'
_space_group_IT_number 139
_space_group_name_Hall '-I 4 2'
loop_
_atom_site_label
_atom_site_type_symbol
_atom_site_fract_x
_atom_site_fract_y
_atom_site_fract_z
_atom_site_occupancy
Ba1 Ba 0.000 0.500 0.250 1
Te1 Te 0.000 0.000 0.147 1
Br1 Br 0.000 0.000 0.500 1

=====

*b*
# Ba2Te2Br PBE-GGA optimized geometry
# Calculated volume: 402 Å³/cell
data_Ba2Te2Br
_cell_length_a 9.170
_cell_length_b 9.170
_cell_length_c 4.783
_cell_angle_alpha 90.00
_cell_angle_beta 90.00
_cell_angle_gamma 90.00
_space_group_name_H-M_alt 'P 4/m b m'
_space_group_IT_number 127
_space_group_name_Hall '-P 4 2ab'
loop_
_atom_site_label
_atom_site_type_symbol
_atom_site_fract_x
_atom_site_fract_y
_atom_site_fract_z
_atom_site_occupancy
Ba1 Ba 0.175 0.325 0.000 1
Te1 Te 0.123 0.623 0.500 1
Br1 Br 0.000 0.000 0.000 1

=====

Most stable structure: *b*

=====

*a*
# BaTeBr3 PBE-GGA optimized geometry
# Calculated volume: 206 Å³/cell
data_BaTeBr3
_cell_length_a 5.904
_cell_length_b 5.904
_cell_length_c 5.904
_cell_angle_alpha 90.00
_cell_angle_beta 90.00
_cell_angle_gamma 90.00
_space_group_name_H-M_alt 'P m -3 m'
_space_group_IT_number 221
_space_group_name_Hall '-P 4 2 3'
loop_
_atom_site_label
_atom_site_type_symbol
_atom_site_fract_x
_atom_site_fract_y
_atom_site_fract_z
_atom_site_occupancy
Ba1 Ba 0.000 0.000 0.000 1
Te1 Te 0.500 0.500 0.500 1
Br1 Br 0.000 0.500 0.500 1

=====

*b*
# BaTeBr3 PBE-GGA optimized geometry
# Calculated volume: 251 Å³/cell
data_BaTeBr3
_cell_length_a 6.311
_cell_length_b 6.311
_cell_length_c 6.311
_cell_angle_alpha 90.00
_cell_angle_beta 90.00
_cell_angle_gamma 90.00
_space_group_name_H-M_alt 'P m -3 m'
_space_group_IT_number 221
_space_group_name_Hall '-P 4 2 3'
loop_
_atom_site_label
_atom_site_type_symbol
_atom_site_fract_x
_atom_site_fract_y
_atom_site_fract_z
_atom_site_occupancy
Ba1 Ba 0.000 0.000 0.000 1
Te1 Te 0.500 0.500 0.500 1
Br1 Br 0.000 0.000 0.500 1

=====

Most stable structure: *b*

=====

*a*
# Ba2TiBr PBE-GGA optimized geometry
# Calculated volume: 614 Å³/cell
data_Ba2TiBr
_cell_length_a 8.501
_cell_length_b 8.501
_cell_length_c 8.501
_cell_angle_alpha 90.00
_cell_angle_beta 90.00
_cell_angle_gamma 90.00
_space_group_name_H-M_alt 'F m -3 m'
_space_group_IT_number 225
_space_group_name_Hall '-F 4 2 3'
loop_
_atom_site_label
_atom_site_type_symbol
_atom_site_fract_x
_atom_site_fract_y
_atom_site_fract_z
_atom_site_occupancy
Ba1 Ba 0.250 0.250 0.250 1
Ti1 Ti 0.000 0.000 0.000 1
Br1 Br 0.000 0.000 0.500 1

=====

*b*
# Ba2TiBr PBE-GGA optimized geometry
# Calculated volume: 732 Å³/cell
data_Ba2TiBr
_cell_length_a 9.152
_cell_length_b 9.152
_cell_length_c 8.733
_cell_angle_alpha 90.00
_cell_angle_beta 90.00
_cell_angle_gamma 90.00
_space_group_name_H-M_alt 'I -4 2 d'
_space_group_IT_number 122
_space_group_name_Hall 'I -4 2bw'
loop_
_atom_site_label
_atom_site_type_symbol
_atom_site_fract_x
_atom_site_fract_y
_atom_site_fract_z
_atom_site_occupancy
Ba1 Ba 0.221 0.250 0.125 1
Ti1 Ti 0.000 0.000 0.500 1
Br1 Br 0.000 0.000 0.000 1

=====

Most stable structure: *b*

=====

*a*
# BaTl2Br4 PBE-GGA optimized geometry
# Calculated volume: 1321 Å³/cell
data_BaTl2Br4
_cell_length_a 9.781
_cell_length_b 9.781
_cell_length_c 13.811
_cell_angle_alpha 90.00
_cell_angle_beta 90.00
_cell_angle_gamma 90.00
_space_group_name_H-M_alt 'P 41 2 2'
_space_group_IT_number 91
loop_
_space_group_symop_operation_xyz
'x,y,z'
'-y,x,z+1/4'
'-x,-y,z+1/2'
'y,-x,z+3/4'
'x,-y,-z+1/2'
'-y,-x,-z+1/4'
'-x,y,-z'
'y,x,-z+3/4'
loop_
_atom_site_label
_atom_site_type_symbol
_atom_site_fract_x
_atom_site_fract_y
_atom_site_fract_z
_atom_site_occupancy
Ba1 Ba 0.000 0.262 0.000 1
Tl1 Tl 0.245 0.245 0.375 1
Tl2 Tl 0.265 0.500 0.750 1
Br1 Br 0.028 0.240 0.765 1
Br2 Br 0.242 0.485 0.995 1

=====

*b*
# BaTl2Br4 PBE-GGA optimized geometry
# Calculated volume: 664 Å³/cell
data_BaTl2Br4
_cell_length_a 6.371
_cell_length_b 6.371
_cell_length_c 16.364
_cell_angle_alpha 90.00
_cell_angle_beta 90.00
_cell_angle_gamma 90.00
_space_group_name_H-M_alt 'I 4/m m m'
_space_group_IT_number 139
_space_group_name_Hall '-I 4 2'
loop_
_atom_site_label
_atom_site_type_symbol
_atom_site_fract_x
_atom_site_fract_y
_atom_site_fract_z
_atom_site_occupancy
Ba1 Ba 0.000 0.000 0.000 1
Tl1 Tl 0.000 0.000 0.372 1
Br1 Br 0.000 0.000 0.193 1
Br2 Br 0.000 0.500 0.000 1

=====

Most stable structure: *a*

=====

*a*
# BaTl2Br PBE-GGA optimized geometry
# Calculated volume: 634 Å³/cell
data_BaTl2Br
_cell_length_a 9.885
_cell_length_b 9.885
_cell_length_c 6.492
_cell_angle_alpha 90.00
_cell_angle_beta 90.00
_cell_angle_gamma 90.00
_space_group_name_H-M_alt 'I -4 2 d'
_space_group_IT_number 122
_space_group_name_Hall 'I -4 2bw'
loop_
_atom_site_label
_atom_site_type_symbol
_atom_site_fract_x
_atom_site_fract_y
_atom_site_fract_z
_atom_site_occupancy
Ba1 Ba 0.000 0.000 0.000 1
Tl1 Tl 0.219 0.750 0.625 1
Br1 Br 0.000 0.000 0.500 1

=====

*b*
# BaTl2Br PBE-GGA optimized geometry
# Calculated volume: 149 Å³/cell
data_BaTl2Br
_cell_length_a 4.608
_cell_length_b 4.608
_cell_length_c 7.013
_cell_angle_alpha 90.00
_cell_angle_beta 90.00
_cell_angle_gamma 90.00
_space_group_name_H-M_alt 'P 4/m m m'
_space_group_IT_number 123
_space_group_name_Hall '-P 4 2'
loop_
_atom_site_label
_atom_site_type_symbol
_atom_site_fract_x
_atom_site_fract_y
_atom_site_fract_z
_atom_site_occupancy
Ba1 Ba 0.000 0.000 0.000 1
Tl1 Tl 0.000 0.500 0.500 1
Br1 Br 0.500 0.500 0.000 1

=====

*c*
# BaTl2Br PBE-GGA optimized geometry
# Calculated volume: 571 Å³/cell
data_BaTl2Br
_cell_length_a 8.296
_cell_length_b 8.296
_cell_length_c 8.296
_cell_angle_alpha 90.00
_cell_angle_beta 90.00
_cell_angle_gamma 90.00
_space_group_name_H-M_alt 'F m -3 m'
_space_group_IT_number 225
_space_group_name_Hall '-F 4 2 3'
loop_
_atom_site_label
_atom_site_type_symbol
_atom_site_fract_x
_atom_site_fract_y
_atom_site_fract_z
_atom_site_occupancy
Ba1 Ba 0.000 0.000 0.000 1
Tl1 Tl 0.250 0.250 0.250 1
Br1 Br 0.000 0.000 0.500 1

=====

*d*
# BaTl2Br PBE-GGA optimized geometry
# Calculated volume: 301 Å³/cell
data_BaTl2Br
_cell_length_a 6.340
_cell_length_b 4.105
_cell_length_c 11.573
_cell_angle_alpha 90.00
_cell_angle_beta 90.00
_cell_angle_gamma 90.00
_space_group_name_H-M_alt 'A m m 2'
_space_group_IT_number 38
loop_
_space_group_symop_operation_xyz
'x,y,z'
'-x,-y,z'
'-x,y,z'
'x,-y,z'
'x,y+1/2,z+1/2'
'-x,-y+1/2,z+1/2'
'-x,y+1/2,z+1/2'
'x,-y+1/2,z+1/2'
loop_
_atom_site_label
_atom_site_type_symbol
_atom_site_fract_x
_atom_site_fract_y
_atom_site_fract_z
_atom_site_occupancy
Ba1 Ba 0.000 0.000 0.000 1
Tl1 Tl 0.500 0.000 0.490 1
Tl2 Tl 0.500 0.000 0.758 1
Br1 Br 0.000 0.000 0.275 1

=====

Most stable structure: *b*

=====

*a*
# BaTl2Br PBE-GGA optimized geometry
# Calculated volume: 501 Å³/cell
data_BaTl2Br
_cell_length_a 4.4525
_cell_length_b 4.4525
_cell_length_c 29.1864
_cell_angle_alpha 90.00
_cell_angle_beta 90.00
_cell_angle_gamma 120.00
_space_group_name_H-M_alt 'R 3 m'
_space_group_IT_number 160
_space_group_name_Hall 'R 3 -2"'
loop_
_atom_site_label
_atom_site_type_symbol
_atom_site_fract_x
_atom_site_fract_y
_atom_site_fract_z
_atom_site_occupancy
Ba1 Ba 0.0000 0.0000 0.0000 1
Tl1 Tl 0.0000 0.0000 0.4943 1
Tl2 Tl 0.0000 0.0000 0.7571 1
Br1 Br 0.0000 0.0000 0.2659 1

=====

*b*
# BaTl2Br PBE-GGA optimized geometry
# Calculated volume: 271 Å³/cell
data_BaTl2Br
_cell_length_a 5.416
_cell_length_b 5.416
_cell_length_c 9.243
_cell_angle_alpha 90.00
_cell_angle_beta 90.00
_cell_angle_gamma 90.00
_space_group_name_H-M_alt 'I -4 m 2'
_space_group_IT_number 119
_space_group_name_Hall 'I -4 -2'
loop_
_atom_site_label
_atom_site_type_symbol
_atom_site_fract_x
_atom_site_fract_y
_atom_site_fract_z
_atom_site_occupancy
Ba1 Ba 0.000 0.000 0.000 1
Tl1 Tl 0.000 0.000 0.500 1
Tl2 Tl 0.000 0.500 0.250 1
Br1 Br 0.000 0.500 0.750 1

=====

Most stable structure: *a*

=====

*a*
# BaTl2Br PBE-GGA optimized geometry
# Calculated volume: 297 Å³/cell
data_BaTl2Br
_cell_length_a 4.444
_cell_length_b 4.778
_cell_length_c 13.968
_cell_angle_alpha 90.00
_cell_angle_beta 90.00
_cell_angle_gamma 90.00
_space_group_name_H-M_alt 'I m m m'
_space_group_IT_number 71
_space_group_name_Hall '-I 2 2'
loop_
_atom_site_label
_atom_site_type_symbol
_atom_site_fract_x
_atom_site_fract_y
_atom_site_fract_z
_atom_site_occupancy
Ba1 Ba 0.000 0.000 0.000 1
Tl1 Tl 0.000 0.500 0.265 1
Br1 Br 0.000 0.000 0.500 1

=====

*b*
# BaTl2Br PBE-GGA optimized geometry
# Calculated volume: 311 Å³/cell
data_BaTl2Br
_cell_length_a 6.389
_cell_length_b 11.662
_cell_length_c 4.172
_cell_angle_alpha 90.00
_cell_angle_beta 90.00
_cell_angle_gamma 90.00
_space_group_name_H-M_alt 'C m m m'
_space_group_IT_number 65
_space_group_name_Hall '-C 2 2'
loop_
_atom_site_label
_atom_site_type_symbol
_atom_site_fract_x
_atom_site_fract_y
_atom_site_fract_z
_atom_site_occupancy
Ba1 Ba 0.000 0.000 0.000 1
Tl1 Tl 0.250 0.250 0.500 1
Br1 Br 0.000 0.500 0.000 1

=====

*c*
# BaTl2Br PBE-GGA optimized geometry
# Calculated volume: 303 Å³/cell
data_BaTl2Br
_cell_length_a 14.529
_cell_length_b 4.297
_cell_length_c 4.869
_cell_angle_alpha 90.00
_cell_angle_beta 95.00
_cell_angle_gamma 90.00
_space_group_name_H-M_alt 'C 1 2/m 1'
_space_group_IT_number 12
loop_
_space_group_symop_operation_xyz
'x,y,z'
'-x,-y,-z'
'-x,y,-z'
'x,-y,z'
'x+1/2,y+1/2,z'
'-x+1/2,-y+1/2,-z'
'-x+1/2,y+1/2,-z'
'x+1/2,-y+1/2,z'
loop_
_atom_site_label
_atom_site_type_symbol
_atom_site_fract_x
_atom_site_fract_y
_atom_site_fract_z
_atom_site_occupancy
Ba1 Ba 0.000 0.000 0.000 1
Tl1 Tl 0.228 0.500 0.237 1
Br1 Br 0.000 0.500 0.500 1

=====

*d*
# BaTl2Br PBE-GGA optimized geometry
# Calculated volume: 153 Å³/cell
data_BaTl2Br
_cell_length_a 4.532
_cell_length_b 4.532
_cell_length_c 7.475
_cell_angle_alpha 90.00
_cell_angle_beta 90.00
_cell_angle_gamma 90.00
_space_group_name_H-M_alt 'P 4 m m'
_space_group_IT_number 99
loop_
_space_group_symop_operation_xyz
'x,y,z'
'-y,x,z'
'-x,-y,z'
'y,-x,z'
'-x,y,z'
'y,x,z'
'x,-y,z'
'-y,-x,z'
loop_
_atom_site_label
_atom_site_type_symbol
_atom_site_fract_x
_atom_site_fract_y
_atom_site_fract_z
_atom_site_occupancy
Ba1 Ba 0.000 0.000 0.000 1
Tl1 Tl 0.000 0.000 0.509 1
Tl2 Tl 0.500 0.500 0.630 1
Br1 Br 0.500 0.500 0.096 1

=====

Most stable structure: *d*

=====

*a*
# BaTl2Br PBE-GGA optimized geometry
# Calculated volume: 161 Å³/cell
data_BaTl2Br
_cell_length_a 4.164
_cell_length_b 6.175
_cell_length_c 6.256
_cell_angle_alpha 90.00
_cell_angle_beta 90.00
_cell_angle_gamma 90.00
_space_group_name_H-M_alt 'P m m m'
_space_group_IT_number 47
loop_
_space_group_symop_operation_xyz
'x,y,z'
'-x,-y,-z'
'-x,-y,z'
'x,y,-z'
'x,-y,-z'
'-x,y,z'
'-x,y,-z'
'x,-y,z'
loop_
_atom_site_label
_atom_site_type_symbol
_atom_site_fract_x
_atom_site_fract_y
_atom_site_fract_z
_atom_site_occupancy
Ba1 Ba 0.000 0.000 0.000 1
Tl1 Tl 0.500 0.500 0.244 1
Br1 Br 0.000 0.000 0.500 1

=====

*b*
# BaTl2Br PBE-GGA optimized geometry
# Calculated volume: 468 Å³/cell
data_BaTl2Br
_cell_length_a 4.2085
_cell_length_b 4.2085
_cell_length_c 30.5270
_cell_angle_alpha 90.00
_cell_angle_beta 90.00
_cell_angle_gamma 120.00
_space_group_name_H-M_alt 'R -3 m'
_space_group_IT_number 166
_space_group_name_Hall '-R 3 2"'
loop_
_atom_site_label
_atom_site_type_symbol
_atom_site_fract_x
_atom_site_fract_y
_atom_site_fract_z
_atom_site_occupancy
Ba1 Ba 0.0000 0.0000 0.0000 1
Tl1 Tl 0.0000 0.0000 0.2382 1
Br1 Br 0.0000 0.0000 0.5000 1

=====

Most stable structure: *a*